1.
Density functional theory data (PBE-GGA) for crystalline Li5PrAg2 at its relaxed geometry.

Results
- total magnetic moment (Bohr magnetons per cell) = 0.0
- E_form (kJ/mol of atoms) = -9
- calculated total energy (Ha/atom) = -0.096

Cell: 7.254 7.254 7.254 Å, 152.77 105.01 81.48°
Fractional positions:
Li (0.000, 0.000, 0.000)
Li (0.058, 0.354, 0.704)
Li (0.351, 0.646, 0.704)
Li (0.649, 0.354, 0.296)
Li (0.942, 0.646, 0.296)
Pr (0.500, 0.000, 0.500)
Ag (0.255, 0.255, 0.000)
Ag (0.745, 0.745, 0.000)


2.
Density functional theory data (PBE-GGA) for crystalline LiPrAgPt at its relaxed geometry.

Results
- total magnetic moment (Bohr magnetons per cell) = 0.0
- E_form (kJ/mol of atoms) = -46
- calculated total energy (Ha/atom) = -0.161

Cell: 4.950 4.950 4.950 Å, 60.00 60.00 60.00°
Fractional positions:
Li (0.000, 0.000, 0.000)
Pr (0.500, 0.500, 0.500)
Ag (0.750, 0.750, 0.750)
Pt (0.250, 0.250, 0.250)